Computed, not measured: crystalline TaSbAuI2 at its relaxed geometry at the PBE level of DFT.

Lattice parameters (Å, degrees): 5.3790 5.3790 5.6037 90.00 90.00 90.00
Closest atoms and distances in Å follow each position.
Element x y z (fractional)
1 I 0.5000 0.0000 0.0000  2 Ta 2.69
2 I 0.0000 0.5000 0.0000  2 Ta 2.69
3 Au 0.5000 0.5000 0.5000  4 Sb 3.80, 8 I 3.88
4 Sb 0.0000 0.0000 0.5000  2 Ta 2.80
5 Ta 0.0000 0.0000 0.0000  4 I 2.69, 2 Sb 2.80

Properties
The energy relative to the elements, uncorrected comes out at 0.589 eV per atom. The calculation puts the distance to the lowest polymorph of the same formula at 0 meV per atom.